Entry 1:
Material: Zr4AlNi2
Method: DFT, PBE-GGA
State: relaxed

```
data_Zr4AlNi2
_cell_length_a 3.176
_cell_length_b 3.176
_cell_length_c 13.021
_cell_angle_alpha 96.99
_cell_angle_beta 96.99
_cell_angle_gamma 90.10
_symmetry_space_group_name_H-M 'P 1'
_symmetry_Int_Tables_number 1
loop_
_symmetry_equiv_pos_as_xyz
'x,y,z'
loop_
_atom_site_label
_atom_site_type_symbol
_atom_site_fract_x
_atom_site_fract_y
_atom_site_fract_z
Zr1 Zr 0.000 0.000 0.000
Zr2 Zr 0.589 0.589 0.177
Zr3 Zr 0.716 0.716 0.434
Zr4 Zr 0.845 0.845 0.690
Al1 Al 0.421 0.421 0.842
Ni1 Ni 0.155 0.155 0.309
Ni2 Ni 0.275 0.275 0.554
```

E_form = -7.41 kcal/mol of atoms
size of the total moment = 0.00 Bohr magnetons per cell
total DFT energy (no corrections) = -51.746 eV per cell

Entry 2:
Material: BaCo2Cl8
Method: DFT, PBE-GGA
State: relaxed

```
data_BaCo2Cl8
_cell_length_a 10.483
_cell_length_b 10.483
_cell_length_c 12.924
_cell_angle_alpha 121.91
_cell_angle_beta 121.91
_cell_angle_gamma 40.41
_symmetry_space_group_name_H-M 'P 1'
_symmetry_Int_Tables_number 1
loop_
_symmetry_equiv_pos_as_xyz
'x,y,z'
loop_
_atom_site_label
_atom_site_type_symbol
_atom_site_fract_x
_atom_site_fract_y
_atom_site_fract_z
Ba1 Ba 0.141 0.859 0.750
Ba2 Ba 0.859 0.141 0.250
Co1 Co 0.181 0.628 0.335
Co2 Co 0.372 0.819 0.165
Co3 Co 0.628 0.181 0.835
Co4 Co 0.819 0.372 0.665
Cl1 Cl 0.100 0.225 0.806
Cl2 Cl 0.148 0.591 0.468
Cl3 Cl 0.169 0.761 0.067
Cl4 Cl 0.225 0.100 0.306
Cl5 Cl 0.239 0.831 0.433
Cl6 Cl 0.333 0.429 0.748
Cl7 Cl 0.409 0.852 0.032
Cl8 Cl 0.429 0.333 0.248
Cl9 Cl 0.571 0.667 0.752
Cl10 Cl 0.591 0.148 0.968
Cl11 Cl 0.667 0.571 0.252
Cl12 Cl 0.761 0.169 0.567
Cl13 Cl 0.775 0.900 0.694
Cl14 Cl 0.831 0.239 0.933
Cl15 Cl 0.852 0.409 0.532
Cl16 Cl 0.900 0.775 0.194
```

ΔE_f (raw) = -11.5 eV per formula unit
size of the total moment = 16.00 Bohr magnetons per cell
total DFT energy (no corrections) = -84.883 eV per cell